Version a
4
Lattice="-1.982 -2.410 0.828 2.275 -1.200 1.952 -3.921 6.079 8.307" Properties=species:S:1:pos:R:3 comment="K2TaCl (PBE-GGA, relaxed)" crystal_system=tetragonal pbc="T T T"
K -1.022 0.006 3.866
K -3.614 5.603 7.657
Ta -2.216 3.436 4.696
Cl -2.657 2.541 7.329

---

Version b
4
Lattice="-2.650 5.064 -4.531 -6.797 2.628 0.298 5.763 -1.397 4.245" Properties=species:S:1:pos:R:3 comment="K2TaCl (PBE-GGA, relaxed)" crystal_system=tetragonal pbc="T T T"
Ta -4.723 3.846 -2.116
K 0.000 0.000 0.000
Cl -0.805 3.756 -1.201
K -2.878 2.538 1.213

---

Order from most stable to least stable according to the calculation: version a, version b

---

Version a
4
Lattice="3.241 0.000 0.000 0.000 3.241 0.000 0.000 0.000 11.250" Properties=species:S:1:pos:R:3 comment="K2TaCl (PBE-GGA, relaxed)" crystal_system=tetragonal pbc="T T T"
K 1.621 1.621 2.553
Ta 0.000 0.000 5.548
K 0.000 0.000 9.093
Cl 1.621 1.621 10.930

---

Version b
4
Lattice="-0.070 0.141 3.261 -1.835 -2.469 -1.093 9.066 -6.960 0.496" Properties=species:S:1:pos:R:3 comment="K2TaCl (PBE-GGA, relaxed)" crystal_system=orthorhombic pbc="T T T"
Ta 5.031 -3.863 0.275
K 8.443 -6.481 0.462
K 1.690 -3.192 1.228
Cl 5.596 -6.191 1.442

---

Version c
4
Lattice="-1.973 -5.476 9.925 1.448 -5.739 9.867 -0.035 -2.914 11.131" Properties=species:S:1:pos:R:3 comment="K2TaCl (PBE-GGA, relaxed)" crystal_system=trigonal pbc="T T T"
K -0.132 -3.322 7.270
Ta -0.269 -6.785 14.848
K -0.012 -0.295 0.645
Cl -0.428 -10.793 23.620

---

Order from most stable to least stable according to the calculation: version a, version c, version b